VASP calculation (PBE) on a relaxed structure of Ba2Zn2As.

**Energy relative to the elements**: -415.3 meV per atom
**Energy above the lowest structure with this stoichiometry**: 0 meV per atom
**V**: 159.0 Å³ per cell
**Total moment**: 0.00 μB per formula unit

Lattice parameters (Å, degrees): 3.987 3.987 10.387 78.93 78.93 90.00
Fractional coordinates of all 5 atoms:
As 0.000 0.000 0.000
Zn 0.750 0.250 0.500
Ba 0.411 0.411 0.179
Zn 0.250 0.750 0.500
Ba 0.589 0.589 0.821

VASP calculation (PBE) on a relaxed structure of CrCuTe4.

**Energy above the lowest structure with this stoichiometry**: 0 meV per atom
**V**: 156.5 Å³ per cell
**Total moment**: 2.88 μB per formula unit
**Raw formation energy**: -0.51 eV per formula unit

Lattice parameters (Å, degrees): 4.009 6.662 7.245 120.32 90.00 107.51
Site moments in Bohr magnetons follow the coordinates.
Fractional coordinates of all 6 atoms:
Cu 0.500 0.000 0.500  0.00
Te 0.855 0.709 0.561  -0.04
Te 0.145 0.291 0.439  -0.04
Cr 0.000 0.000 0.000  2.91
Te 0.386 0.771 0.086  -0.08
Te 0.614 0.229 0.914  -0.08

VASP calculation (PBE) on a relaxed structure of SrCaIn2.

**Energy relative to the elements**: -163.5 meV per atom
**Energy above the lowest structure with this stoichiometry**: 289 meV per atom
**V**: 128.1 Å³ per cell
**Total moment**: 0.00 μB per formula unit

Lattice parameters (Å, degrees): 5.658 5.658 5.658 60.00 60.00 60.00
Fractional coordinates of all 4 atoms:
Ca 0.500 0.500 0.500
In 0.250 0.250 0.250
In 0.000 0.000 0.000
Sr 0.750 0.750 0.750

VASP calculation (PBE) on a relaxed structure of NdThC.

**Energy relative to the elements**: 44.6 meV per atom
**Energy above the lowest structure with this stoichiometry**: 230 meV per atom
**V**: 72.3 Å³ per cell
**Total moment**: 0.00 μB per formula unit

Lattice parameters (Å, degrees): 3.616 3.394 6.132 106.07 89.99 90.00
Fractional coordinates of all 3 atoms:
Th 0.012 0.357 0.714
C 0.512 0.794 0.587
Nd 0.512 0.118 0.237